CaSiSn2Pt5 | Alexandria via LeMat-Bulk | PBE-GGA | relaxed; spin magnetization = 0.0 μB per cell; space-group type = No. 71; VASP energy = -50.62 eV per cell
1.0
-0.005 -4.404 1.464
-0.996 -1.736 -5.224
7.476 2.664 0.684
Ca Si Sn Pt
1 1 2 5
Direct
0.000 0.500 0.000
0.500 0.000 0.000
0.197 0.197 0.394
0.803 0.803 0.606
0.636 0.881 0.273
0.364 0.119 0.727
0.364 0.608 0.727
0.636 0.392 0.273
0.000 0.000 0.000